Record 1
Compound: ZrHAu
Source: the Alexandria database
Functional: PBE-GGA
Structure: relaxed

- DOS at the Fermi energy (states/eV/atom) = 0.66
- symmetry = P4/nmm (129)
- E above lowest polymorph (meV/atom) = 0
- size of the total moment (μB/atom) = 0.000

a = 3.4409 Å, b = 3.4417 Å, c = 7.2244 Å
α = 89.99°, β = 89.99°, γ = 90.00°
Closest atoms and distances in Å follow each position.
Atoms (fractional coordinates):
1 H 0.8135 0.3665 0.9196  4 Zr 2.15
2 Au 0.3137 0.3666 0.3107  5 Zr 2.88-3.11, 4 Au 2.90
3 Zr 0.3134 0.3663 0.7409  4 H 2.15
4 H 0.3136 0.8664 0.9196  4 Zr 2.15
5 Au 0.8135 0.8664 0.5285  5 Zr 2.88-3.11, 4 Au 2.90
6 Zr 0.8138 0.8667 0.0983  4 H 2.15

Record 2
Compound: Tl5C
Source: the Alexandria database
Functional: PBE-GGA
Structure: relaxed

- DOS at the Fermi energy (states/eV/atom) = 0.41
- formation energy (meV/atom) = 695
- symmetry = Cm (8)
- E above lowest polymorph (meV/atom) = 0
- size of the total moment (μB/atom) = 0.000

a = 6.0945 Å, b = 6.0945 Å, c = 8.4675 Å
α = 72.24°, β = 72.24°, γ = 34.92°
Closest atoms and distances in Å follow each position.
Atoms (fractional coordinates):
1 Tl 0.9757 0.9757 0.4345  12 Tl 3.51-3.69
2 Tl 0.7455 0.7455 0.2329  1 C 2.38
3 Tl 0.6618 0.6618 0.6432  10 Tl 3.29-3.69
4 Tl 0.3473 0.3473 0.8245  2 C 2.47
5 Tl 0.5278 0.5278 0.0540  2 C 2.50
6 C 0.9087 0.9087 0.9775  5 Tl 2.38-2.50

Record 3
Compound: CoP2
Source: the Alexandria database
Functional: PBE-GGA
Structure: relaxed

- DOS at the Fermi energy (states/eV/atom) = 0.36
- formation energy (meV/atom) = -143
- symmetry = Pnma (62)
- size of the total moment (μB/atom) = 0.000

a = 3.2796 Å, b = 6.5036 Å, c = 7.3043 Å
α = 90.00°, β = 90.00°, γ = 90.00°
Closest atoms and distances in Å follow each position.
Atoms (fractional coordinates):
1 Co 0.7500 0.7581 0.9532  6 P 2.22-2.41
2 P 0.7500 0.5281 0.3611  3 Co 2.22-2.25, 2 P 2.33
3 P 0.7500 0.4152 0.8608  4 Co 2.33-2.51, 2 P 2.33
4 P 0.2500 0.5848 0.1392  4 Co 2.33-2.51, 2 P 2.33
5 Co 0.2500 0.2419 0.0468  6 P 2.22-2.41
6 Co 0.2500 0.7419 0.4532  6 P 2.22-2.41
7 P 0.7500 0.9152 0.6392  4 Co 2.33-2.51, 2 P 2.33
8 P 0.7500 0.0281 0.1389  3 Co 2.22-2.25, 2 P 2.33
9 P 0.2500 0.9719 0.8611  3 Co 2.22-2.25, 2 P 2.33
10 Co 0.7500 0.2581 0.5468  6 P 2.22-2.41
11 P 0.2500 0.4719 0.6389  3 Co 2.22-2.25, 2 P 2.33
12 P 0.2500 0.0848 0.3608  4 Co 2.33-2.51, 2 P 2.33

Raw total energy across the listed records, respectively: -5.596; -2.815; -6.118 eV per atom.